# 1
A plane-wave DFT calculation with GGA-PBE was carried out for an optimized crystal structure of NbAlCo2.

abc: 5.955 5.955 5.955
angles: 90.00 90.00 90.00
Fractional coordinates of all 16 atoms:
Nb: 0.000 0.000 0.000
Nb: 0.000 0.500 0.500
Nb: 0.500 0.000 0.500
Nb: 0.500 0.500 0.000
Al: 0.000 0.000 0.500
Al: 0.000 0.500 0.000
Al: 0.500 0.000 0.000
Al: 0.500 0.500 0.500
Co: 0.250 0.250 0.250
Co: 0.250 0.250 0.750
Co: 0.250 0.750 0.250
Co: 0.250 0.750 0.750
Co: 0.750 0.250 0.250
Co: 0.750 0.250 0.750
Co: 0.750 0.750 0.250
Co: 0.750 0.750 0.750

Summary:
Space-group type ... Fm-3m, No. 225
Magnetization ... 8.0 Bohr magnetons per cell
Energy ... -7.428 eV/atom

=====

# 2
A plane-wave DFT calculation with GGA-PBE was carried out for an optimized crystal structure of NbAlCo2.

abc: 3.996 3.996 7.756
angles: 90.00 90.00 120.00
Fractional coordinates of all 8 atoms:
Nb: 0.333 0.667 0.250
Nb: 0.667 0.333 0.750
Al: 0.000 0.000 0.000
Al: 0.000 0.000 0.500
Co: 0.333 0.667 0.595
Co: 0.333 0.667 0.905
Co: 0.667 0.333 0.095
Co: 0.667 0.333 0.405

Summary:
Space-group type ... P6_3/mmc, No. 194
Magnetization ... 0.0 Bohr magnetons per cell
Energy ... -7.346 eV/atom

=====

# 3
A plane-wave DFT calculation with GGA-PBE was carried out for an optimized crystal structure of NbAlCo2.

abc: 4.210 4.210 5.944
angles: 90.00 90.00 90.00
Fractional coordinates of all 8 atoms:
Nb: 0.000 0.000 0.000
Nb: 0.500 0.500 0.500
Al: 0.000 0.000 0.500
Al: 0.500 0.500 0.000
Co: 0.000 0.500 0.250
Co: 0.000 0.500 0.750
Co: 0.500 0.000 0.250
Co: 0.500 0.000 0.750

Summary:
Space-group type ... I4/mmm, No. 139
Magnetization ... 4.0 Bohr magnetons per cell
Energy ... -7.428 eV/atom

=====

# 4
A plane-wave DFT calculation with GGA-PBE was carried out for an optimized crystal structure of NbAlCo2.

abc: 4.352 4.352 6.774
angles: 90.00 90.00 120.00
Fractional coordinates of all 8 atoms:
Nb: 0.000 0.000 0.250
Nb: 0.000 0.000 0.750
Al: 0.333 0.667 0.250
Al: 0.667 0.333 0.750
Co: 0.333 0.667 0.585
Co: 0.333 0.667 0.915
Co: 0.667 0.333 0.085
Co: 0.667 0.333 0.415

Summary:
Space-group type ... P6_3/mmc, No. 194
Magnetization ... 3.5 Bohr magnetons per cell
Energy ... -6.791 eV/atom

=====

# 5
A plane-wave DFT calculation with GGA-PBE was carried out for an optimized crystal structure of NbAlCo2.

abc: 5.955 5.955 5.955
angles: 90.00 90.00 90.00
Fractional coordinates of all 16 atoms:
Nb: 0.000 0.000 0.000
Nb: 0.000 0.500 0.500
Nb: 0.500 0.000 0.500
Nb: 0.500 0.500 0.000
Al: 0.000 0.000 0.500
Al: 0.000 0.500 0.000
Al: 0.500 0.000 0.000
Al: 0.500 0.500 0.500
Co: 0.250 0.250 0.250
Co: 0.250 0.250 0.750
Co: 0.250 0.750 0.250
Co: 0.250 0.750 0.750
Co: 0.750 0.250 0.250
Co: 0.750 0.250 0.750
Co: 0.750 0.750 0.250
Co: 0.750 0.750 0.750

Summary:
Space-group type ... Fm-3m, No. 225
Magnetization ... 7.9 Bohr magnetons per cell
Energy ... -7.428 eV/atom

=====

# 6
A plane-wave DFT calculation with GGA-PBE was carried out for an optimized crystal structure of Nb2AlCo3.

abc: 4.028 4.028 5.632
angles: 90.00 90.00 120.00
Fractional coordinates of all 6 atoms:
Nb: 0.333 0.667 0.318
Nb: 0.667 0.333 0.682
Al: 0.000 0.000 0.000
Co: 0.000 0.000 0.500
Co: 0.333 0.667 0.859
Co: 0.667 0.333 0.141

Summary:
Space-group type ... P-3m1, No. 164
Magnetization ... 1.6 Bohr magnetons per cell
Energy ... -7.726 eV/atom

=====

# 7
A plane-wave DFT calculation with GGA-PBE was carried out for an optimized crystal structure of NbAlCo2.

abc: 6.402 6.488 5.121
angles: 90.00 90.00 90.00
Fractional coordinates of all 16 atoms:
Nb: 0.040 0.250 0.160
Nb: 0.460 0.750 0.660
Nb: 0.540 0.250 0.340
Nb: 0.960 0.750 0.840
Al: 0.100 0.750 0.339
Al: 0.400 0.250 0.839
Al: 0.600 0.750 0.161
Al: 0.900 0.250 0.661
Co: 0.196 0.043 0.576
Co: 0.196 0.457 0.576
Co: 0.304 0.543 0.076
Co: 0.304 0.957 0.076
Co: 0.696 0.043 0.924
Co: 0.696 0.457 0.924
Co: 0.804 0.543 0.424
Co: 0.804 0.957 0.424

Summary:
Space-group type ... Pnma, No. 62
Magnetization ... 0.0 Bohr magnetons per cell
Energy ... -7.185 eV/atom

=====

# 8
A plane-wave DFT calculation with GGA-PBE was carried out for an optimized crystal structure of NbAlCo2.

abc: 4.232 4.232 2.981
angles: 90.00 90.00 90.00
Fractional coordinates of all 4 atoms:
Nb: 0.000 0.000 0.000
Al: 0.500 0.500 0.000
Co: 0.000 0.500 0.500
Co: 0.500 0.000 0.500

Summary:
Space-group type ... P4/mmm, No. 123
Magnetization ... 1.8 Bohr magnetons per cell
Energy ... -7.303 eV/atom

=====

# 9
A plane-wave DFT calculation with GGA-PBE was carried out for an optimized crystal structure of Nb2AlCo.

abc: 6.296 6.296 6.296
angles: 90.00 90.00 90.00
Fractional coordinates of all 16 atoms:
Nb: 0.000 0.000 0.000
Nb: 0.000 0.500 0.500
Nb: 0.250 0.250 0.250
Nb: 0.250 0.750 0.750
Nb: 0.500 0.000 0.500
Nb: 0.500 0.500 0.000
Nb: 0.750 0.250 0.750
Nb: 0.750 0.750 0.250
Al: 0.000 0.000 0.500
Al: 0.000 0.500 0.000
Al: 0.500 0.000 0.000
Al: 0.500 0.500 0.500
Co: 0.250 0.250 0.750
Co: 0.250 0.750 0.250
Co: 0.750 0.250 0.250
Co: 0.750 0.750 0.750

Summary:
Space-group type ... F-43m, No. 216
Magnetization ... 7.8 Bohr magnetons per cell
Energy ... -7.725 eV/atom

=====

# 10
A plane-wave DFT calculation with GGA-PBE was carried out for an optimized crystal structure of NbAlCo2.

abc: 2.797 2.797 6.559
angles: 90.00 90.00 90.00
Fractional coordinates of all 4 atoms:
Nb: 0.000 0.000 0.000
Al: 0.000 0.000 0.500
Co: 0.500 0.500 0.275
Co: 0.500 0.500 0.725

Summary:
Space-group type ... P4/mmm, No. 123
Magnetization ... 0.0 Bohr magnetons per cell
Energy ... -7.361 eV/atom

=====

# 11
A plane-wave DFT calculation with GGA-PBE was carried out for an optimized crystal structure of NbAlCo2.

abc: 5.936 5.936 5.936
angles: 90.00 90.00 90.00
Fractional coordinates of all 16 atoms:
Nb: 0.000 0.000 0.000
Nb: 0.000 0.500 0.500
Nb: 0.500 0.000 0.500
Nb: 0.500 0.500 0.000
Al: 0.250 0.250 0.750
Al: 0.250 0.750 0.250
Al: 0.750 0.250 0.250
Al: 0.750 0.750 0.750
Co: 0.000 0.000 0.500
Co: 0.000 0.500 0.000
Co: 0.250 0.250 0.250
Co: 0.250 0.750 0.750
Co: 0.500 0.000 0.000
Co: 0.500 0.500 0.500
Co: 0.750 0.250 0.750
Co: 0.750 0.750 0.250

Summary:
Space-group type ... F-43m, No. 216
Magnetization ... 7.8 Bohr magnetons per cell
Energy ... -7.056 eV/atom

=====

# 12
A plane-wave DFT calculation with GGA-PBE was carried out for an optimized crystal structure of NbAlCo2.

abc: 4.158 4.158 7.271
angles: 90.00 90.00 120.00
Fractional coordinates of all 8 atoms:
Nb: 0.000 0.000 0.000
Nb: 0.000 0.000 0.500
Al: 0.333 0.667 0.250
Al: 0.667 0.333 0.750
Co: 0.333 0.667 0.592
Co: 0.333 0.667 0.908
Co: 0.667 0.333 0.092
Co: 0.667 0.333 0.408

Summary:
Space-group type ... P6_3/mmc, No. 194
Magnetization ... 0.9 Bohr magnetons per cell
Energy ... -7.257 eV/atom

=====

The highest magnetization belongs to which entry? number 1

=====

The highest magnetization belongs to which entry? number 1